## SrAgP (PBE)

Data for a geometry-optimized SrAgP structure.

It has space group P6_3/mmc (No. 194), with a = 4.4308 Å, b = 4.4308 Å, c = 8.3708 Å, α = 90.00°, β = 90.00° and γ = 120.00°. The distinct sites, in fractional coordinates, are Sr at (0.0000, 0.0000, 0.0000), Ag at (0.3333, 0.6667, 0.2500) and P at (0.3333, 0.6667, 0.7500).

As for the raw total energy: -4.07 eV per atom.



## SrAgP (PBE)

Data for a geometry-optimized SrAgP structure.

It has space group P6_3/mmc (No. 194), with a = 5.1773 Å, b = 5.1773 Å, c = 6.1533 Å, α = 90.00°, β = 90.00° and γ = 120.00°. The distinct sites, in fractional coordinates, are Sr at (0.3333, 0.6667, 0.2500), Ag at (0.0000, 0.0000, 0.0000) and P at (0.3333, 0.6667, 0.7500).

As for the raw total energy: -3.72 eV per atom.



## Sr2AgP (PBE)

Data for a geometry-optimized Sr2AgP structure.

It has space group Cmcm (No. 63), with a = 4.3536 Å, b = 20.6263 Å, c = 5.8242 Å, α = 90.00°, β = 90.00° and γ = 90.00°. The distinct sites, in fractional coordinates, are Sr at (0.0000, 0.0852, 0.2500), Sr at (0.0000, 0.2870, 0.2500), Ag at (0.0000, 0.4625, 0.2500) and P at (0.0000, 0.3168, 0.7500).

As for the raw total energy: -3.58 eV per atom.



Repeat the first record exactly.
## SrAgP (PBE)

Data for a geometry-optimized SrAgP structure.

It has space group P6_3/mmc (No. 194), with a = 4.4308 Å, b = 4.4308 Å, c = 8.3708 Å, α = 90.00°, β = 90.00° and γ = 120.00°. The distinct sites, in fractional coordinates, are Sr at (0.0000, 0.0000, 0.0000), Ag at (0.3333, 0.6667, 0.2500) and P at (0.3333, 0.6667, 0.7500).

As for the raw total energy: -4.07 eV per atom.



Please write out number 2 again, unchanged.
## SrAgP (PBE)

Data for a geometry-optimized SrAgP structure.

It has space group P6_3/mmc (No. 194), with a = 5.1773 Å, b = 5.1773 Å, c = 6.1533 Å, α = 90.00°, β = 90.00° and γ = 120.00°. The distinct sites, in fractional coordinates, are Sr at (0.3333, 0.6667, 0.2500), Ag at (0.0000, 0.0000, 0.0000) and P at (0.3333, 0.6667, 0.7500).

As for the raw total energy: -3.72 eV per atom.